# 1
CrBiSe2 | PBE | optimized geometry

Formation energy from raw total energies = -0.5 eV/f.u.
Total magnetic moment = 11.74 μB per cell

a b c (Å): 6.2969 9.3295 7.0869
angles (deg): 90.00 90.00 90.00
Space group Pna2_1 (No. 33)
Unique sites:
Cr 0.1573 0.1061 0.0000 (multiplicity 4)
Bi 0.1260 0.3076 0.3803 (multiplicity 4)
Se 0.0390 0.0690 0.6769 (multiplicity 4)
Se 0.0403 0.3589 0.9940 (multiplicity 4)


# 2
CrBiSe2 | PBE | optimized geometry

Formation energy from raw total energies = -0.4 eV/f.u.
Total magnetic moment = 15.05 μB per cell

a b c (Å): 5.6002 5.6002 12.7610
angles (deg): 90.00 90.00 90.00
Space group I4_1/amd (No. 141, origin choice 2)
Unique sites:
Cr 0.0000 0.2500 0.3750 (multiplicity 4)
Bi 0.0000 0.2500 0.8750 (multiplicity 4)
Se 0.0000 0.2500 0.1734 (multiplicity 8)


# 3
CrBiSe2 | PBE | optimized geometry

Formation energy from raw total energies = -0.8 eV/f.u.
Total magnetic moment = 2.08 μB per cell

a b c (Å): 15.3938 8.2783 3.4237
angles (deg): 90.00 90.08 90.00
Space group Cm (No. 8)
Unique sites:
Cr 0.0000 0.1160 0.0000 (multiplicity 4)
Bi 0.0049 0.5000 0.5001 (multiplicity 2)
Bi 0.2438 0.5000 0.4991 (multiplicity 2)
Se 0.1086 0.2015 0.5008 (multiplicity 4)
Se 0.3922 0.2958 0.4994 (multiplicity 4)


# 4
CrBiSe2 | PBE | optimized geometry

Formation energy from raw total energies = -0.7 eV/f.u.
Total magnetic moment = 0.01 μB per cell

a b c (Å): 8.8901 10.4693 5.1868
angles (deg): 90.00 124.93 90.00
Space group Cc (No. 9)
Unique sites:
Cr 0.0000 0.0003 0.0000 (multiplicity 4)
Bi 0.3287 0.1032 0.0706 (multiplicity 4)
Se 0.0870 0.1821 0.3364 (multiplicity 4)
Se 0.2855 0.3845 0.0384 (multiplicity 4)


# 5
CrBiSe2 | PBE | optimized geometry

Formation energy from raw total energies = 0.3 eV/f.u.
Total magnetic moment = 14.96 μB per cell

a b c (Å): 4.3611 4.3611 24.2073
angles (deg): 90.00 90.00 120.00
Space group R-3m (No. 166, hexagonal axes)
Unique sites:
Cr 0.0000 0.0000 0.0000 (multiplicity 3)
Bi 0.0000 0.0000 0.5000 (multiplicity 3)
Se 0.0000 0.0000 0.1016 (multiplicity 6)


# 6
CrBiSe2 | PBE | optimized geometry

Formation energy from raw total energies = -0.5 eV/f.u.
Total magnetic moment = 7.38 μB per cell

a b c (Å): 6.3553 5.0563 6.5531
angles (deg): 90.00 96.01 90.00
Space group P2_1/m (No. 11)
Unique sites:
Cr 0.1904 0.2500 0.1184 (multiplicity 2)
Bi 0.2597 0.2500 0.5908 (multiplicity 2)
Se 0.1076 0.7500 0.1640 (multiplicity 2)
Se 0.4230 0.7500 0.7370 (multiplicity 2)